Record 1
A plane-wave DFT calculation with PBE was carried out for crystalline Li6AcGe2 at its relaxed geometry.

Structure (POSCAR):
```
Li6AcGe2
1.0
0.3147 -4.4388 1.2236
6.7725 -5.3043 -0.4469
3.8380 -3.4940 6.8749
Li Ge Ac
6 2 1
Cartesian
5.9196 -6.9005 2.6855
8.3478 -8.0269 3.8228
3.5665 -5.8205 1.3610
2.5774 -5.2103 3.8288
7.3587 -7.4167 6.2906
5.0055 -6.3367 4.9661
3.0978 -3.2515 2.0455
7.8274 -9.9857 5.6061
0.3147 -4.4388 1.2236
```

Properties
Its crystal system is monoclinic. For the magnetic moment, the calculation gives 0.00 μB/f.u. The calculation puts the energy relative to the elements at -0.1816 eV/atom.

---

Record 2
A plane-wave DFT calculation with PBE was carried out for crystalline Ba2CuTe at its relaxed geometry.

Structure (POSCAR):
```
Ba2CuTe
1.0
-1.3525 5.4785 -6.4674
2.0654 2.3828 -7.9829
-2.6104 1.0852 -8.1042
Cu Ba Te
1 2 1
Cartesian
-0.4744 2.2366 -5.6386
-0.9545 4.5006 -11.3460
-1.8917 8.9192 -22.4856
-1.4231 6.7099 -16.9158
```

Properties
Its crystal system is trigonal. Its total energy is -14.07 eV/cell. For the magnetic moment, the calculation gives 0.40 μB/f.u.

---

Record 3
A plane-wave DFT calculation with PBE was carried out for crystalline BaPaBr2F6 at its relaxed geometry.

Structure (POSCAR):
```
BaPaBr2F6
1.0
6.8530 0.0001 0.0027
0.0008 6.8526 0.0020
3.4287 3.4278 4.8484
F Br Ba Pa
6 2 1 1
Cartesian
3.4271 3.4266 2.1253
8.3569 8.3553 4.8511
8.3567 5.3529 4.8508
6.8554 6.8539 2.7278
1.9257 1.9253 0.0020
1.9259 4.9276 0.0023
3.4291 6.8528 2.4265
6.8534 3.4277 2.4266
0.0000 0.0000 0.0000
3.4269 3.4263 0.0023
```

Properties
Its crystal system is cubic. Its total energy is -56.80 eV/cell. For the magnetic moment, the calculation gives 1.05 μB/f.u.

---

Record 4
A plane-wave DFT calculation with PBE was carried out for crystalline ZnFeAg at its relaxed geometry.

Structure (POSCAR):
```
ZnFeAg
1.0
4.9444 0.0546 -0.0233
2.7585 4.1037 0.0233
-3.5247 -2.6845 2.1956
Zn Fe Ag
1 1 1
Cartesian
5.2147 2.8151 0.0000
2.4879 1.3431 0.0000
0.0003 0.0002 0.0000
```

Properties
Its crystal system is orthorhombic. For the magnetic moment, the calculation gives 2.62 μB/f.u. The calculation puts the energy relative to the elements at 0.2449 eV/atom. As for the excess energy over the best structure of this formula in the dataset: 0.2263 eV/atom.

---

Record 5
A plane-wave DFT calculation with PBE was carried out for crystalline Y3Se at its relaxed geometry.

Structure (POSCAR):
```
Y3Se
1.0
-3.5785 2.5392 4.2243
-5.3073 -2.9650 -0.3721
5.9090 -0.5480 1.3716
Y Se
3 1
Cartesian
-4.2315 -0.0324 2.4336
-1.1896 1.1769 4.8529
-1.0576 -1.5274 2.1227
2.1664 1.8509 5.2018
```

Properties
Its crystal system is orthorhombic. For the magnetic moment, the calculation gives 0.67 μB/f.u. As for the excess energy over the best structure of this formula in the dataset: 0.1072 eV/atom.

---

Record 6
A plane-wave DFT calculation with PBE was carried out for crystalline LiMnCl2 at its relaxed geometry.

Structure (POSCAR):
```
LiMnCl2
1.0
-2.8892 1.7085 0.3673
-1.6547 -2.8960 0.5253
1.1537 0.5353 6.5860
Cl Mn Li
2 1 1
Cartesian
-1.7846 -0.3677 3.2280
1.1203 0.5198 6.3951
-1.3762 -0.1782 5.5597
0.3810 0.1768 2.1748
```

Properties
Its crystal system is orthorhombic. For the magnetic moment, the calculation gives 4.08 μB/f.u. As for the excess energy over the best structure of this formula in the dataset: 0.1195 eV/atom.

---

Record 7
A plane-wave DFT calculation with PBE was carried out for crystalline CuSbOsF at its relaxed geometry.

Structure (POSCAR):
```
CuSbOsF
1.0
3.9748 0.0000 0.0079
0.0000 6.6421 0.0000
-3.9393 0.0000 4.4989
Os Sb Cu F
2 2 2 2
Cartesian
0.0178 0.0840 2.2534
1.9874 3.4050 0.0039
0.0000 5.1943 0.0000
-1.9696 1.8732 2.2495
1.9874 0.4104 0.0039
0.0178 3.7315 2.2534
-1.9696 5.4674 2.2495
0.0000 2.1463 0.0000
```

Properties
Its crystal system is monoclinic. For the magnetic moment, the calculation gives 0.00 μB/f.u. As for the excess energy over the best structure of this formula in the dataset: 0.2392 eV/atom.

---

Record 8
A plane-wave DFT calculation with PBE was carried out for crystalline ScTi2RhC at its relaxed geometry.

Structure (POSCAR):
```
ScTi2RhC
1.0
4.1286 0.0000 0.0000
0.0000 4.1286 0.0000
0.0000 0.0000 4.4865
Rh C Ti Sc
1 1 2 1
Cartesian
2.0643 2.0643 2.2432
0.0000 0.0000 0.0000
0.0000 2.0643 0.0000
2.0643 0.0000 0.0000
0.0000 0.0000 2.2432
```

Properties
Its crystal system is tetragonal. For the magnetic moment, the calculation gives 0.00 μB/f.u. The calculation puts the energy relative to the elements at -0.4954 eV/atom.